Crystalline Li3P5 at its relaxed geometry, computed with GGA-PBE.

Cell lengths 8.355, 8.355, 6.377 Å; angles 96.52, 96.52, 137.25 degrees
Fractional coordinates of all 16 atoms:
1 Li 0.000 0.000 0.000
2 Li 0.032 0.032 0.478
3 Li 0.204 0.544 0.228
4 Li 0.290 0.724 0.746
5 Li 0.544 0.204 0.228
6 Li 0.724 0.290 0.746
7 P 0.122 0.750 0.068
8 P 0.230 0.854 0.408
9 P 0.262 0.403 0.847
10 P 0.403 0.262 0.847
11 P 0.437 0.437 0.364
12 P 0.603 0.603 0.099
13 P 0.627 0.766 0.632
14 P 0.750 0.122 0.068
15 P 0.766 0.627 0.632
16 P 0.854 0.230 0.408

Output
- volume (Å³/f.u.) = 143.6
- excess energy over the best structure of this formula in the dataset (eV per formula unit) = 0.000
- formation energy (meV per atom) = -183